Below is a relaxed structure of CsVFeF6, with properties calculated at the GGA+U level.

```
18
Lattice="7.550 -0.088 -0.085 -0.020 7.551 0.085 -3.726 -3.771 5.378" Properties=species:S:1:pos:R:3 pbc="T T T"
V 0.000 0.000 0.000
V 1.912 -1.929 2.646
Fe -0.010 3.775 0.042
Fe -1.863 -1.885 2.689
F 2.316 -0.470 3.899
F 0.066 1.801 0.784
F 1.487 4.162 1.479
F -2.284 4.172 4.210
F 6.037 4.071 1.323
F 3.738 1.892 4.594
F 0.111 -1.979 3.431
F 1.387 -0.538 1.323
F 2.417 4.230 4.055
F 3.693 5.672 1.947
F -2.233 -0.379 4.055
F 6.088 -0.479 1.168
Cs 3.849 1.903 1.323
Cs -0.046 1.790 4.055
```

Calculated values
Final energy in eV per atom: -5.51
Calculated volume in A^3/atom: 17.0
Density in Mg/m³: 3.83